VASP calculation (PBE) on an optimized crystal structure of InSiTe.

Properties
**Formation energy without anion corrections**: 1.1 eV/f.u.
**Size of the total moment**: 0.00 μB/f.u.
**Polymorph energy (0 for the lowest one)**: 280.7 meV/atom
**ρ**: 5.73 g/cm³

abc: 3.936 5.992 13.304
angles: 90.00 90.00 90.00
Space group Fmm2 (No. 42)
Inequivalent atoms, fractional coordinates:
In 0.000 0.000 0.000
Si 0.000 0.000 0.337
Te 0.000 0.000 0.698

***

VASP calculation (PBE) on an optimized crystal structure of BaRhI2O.

Properties
**Formation energy without anion corrections**: 0.4 eV/f.u.
**Size of the total moment**: 2.32 μB/f.u.
**Polymorph energy (0 for the lowest one)**: 937.0 meV/atom
**ρ**: 4.20 g/cm³

abc: 6.720 6.720 4.465
angles: 90.00 90.00 90.00
Space group P4/mmm (No. 123)
Inequivalent atoms, fractional coordinates:
Ba 0.000 0.000 0.000
Rh 0.500 0.500 0.500
I 0.000 0.500 0.000
O 0.000 0.000 0.500

***

VASP calculation (PBE) on an optimized crystal structure of Tc2RuRh5.

Properties
**Size of the total moment**: 0.00 μB/f.u.
**ρ**: 11.08 g/cm³
**DFT formation energy**: 0.322 eV per atom

abc: 2.677 18.293 9.937
angles: 90.00 90.00 90.00
Space group Cmcm (No. 63)
Inequivalent atoms, fractional coordinates:
Tc 0.000 0.087 0.129
Ru 0.000 0.168 0.750
Rh 0.000 0.049 0.613
Rh 0.000 0.214 0.250
Rh 0.000 0.316 0.017

***

VASP calculation (PBE) on an optimized crystal structure of LiTlRe2.

Properties
**Size of the total moment**: 0.00 μB/f.u.
**Polymorph energy (0 for the lowest one)**: 667.1 meV/atom
**ρ**: 14.33 g/cm³
**DFT formation energy**: 0.937 eV per atom

abc: 2.8525 2.8525 28.8055
angles: 90.00 90.00 120.00
Space group R-3m (No. 166, hexagonal axes)
Inequivalent atoms, fractional coordinates:
Li 0.0000 0.0000 0.0000
Tl 0.0000 0.0000 0.5000
Re 0.0000 0.0000 0.2523

***

VASP calculation (PBE) on an optimized crystal structure of CaCo3Te.

Properties
**Formation energy without anion corrections**: 2.8 eV/f.u.
**Size of the total moment**: 3.11 μB/f.u.
**Polymorph energy (0 for the lowest one)**: 0.0 meV/atom
**ρ**: 5.52 g/cm³

abc: 4.697 4.697 4.697
angles: 90.00 90.00 90.00
Space group Pm-3m (No. 221)
Inequivalent atoms, fractional coordinates:
Ca 0.000 0.000 0.000
Co 0.000 0.500 0.500
Te 0.500 0.500 0.500

***

Number 1: Fermi-level density of states 0.429 states/eV/atom. Number 2: Fermi-level density of states 1.524 states/eV/atom. Number 3: Fermi-level density of states 1.127 states/eV/atom. Number 4: Fermi-level density of states 0.818 states/eV/atom. Number 5: Fermi-level density of states 0.269 states/eV/atom.